1.
NbSn2 after structural relaxation, computed with PBE.

a = 10.861 Å, b = 10.080 Å, c = 5.718 Å
α = 81.85°, β = 66.74°, γ = 31.41°
Fractional positions:
Nb 0.002 0.002 0.748
Nb 0.252 0.252 0.998
Nb 0.748 0.748 0.002
Nb 0.998 0.998 0.252
Sn 0.044 0.706 0.044
Sn 0.292 0.292 0.458
Sn 0.294 0.956 0.294
Sn 0.458 0.458 0.292
Sn 0.542 0.542 0.708
Sn 0.706 0.044 0.706
Sn 0.708 0.708 0.542
Sn 0.956 0.294 0.956

Summary:
Formation energy from the elements in eV/atom: -0.14
Theoretical density in Mg/m³: 8.02

2.
NbSn3 after structural relaxation, computed with PBE.

a = 6.255 Å, b = 6.255 Å, c = 5.475 Å
α = 90.07°, β = 90.07°, γ = 120.04°
Fractional positions:
Nb 0.167 0.833 0.750
Nb 0.833 0.167 0.250
Sn 0.155 0.327 0.750
Sn 0.327 0.155 0.250
Sn 0.327 0.673 0.250
Sn 0.673 0.327 0.750
Sn 0.673 0.845 0.750
Sn 0.845 0.673 0.250

Summary:
Formation energy from the elements in eV/atom: 0.30
Theoretical density in Mg/m³: 8.04

3.
NbSn2 after structural relaxation, computed with PBE.

a = 5.360 Å, b = 5.360 Å, c = 5.360 Å
α = 139.93°, β = 139.93°, γ = 57.96°
Fractional positions:
Nb 0.000 0.000 0.000
Sn 0.340 0.340 0.000
Sn 0.660 0.660 0.000

Summary:
Formation energy from the elements in eV/atom: -0.08
Theoretical density in Mg/m³: 8.67

4.
NbSn2 after structural relaxation, computed with PBE.

a = 7.199 Å, b = 3.257 Å, c = 3.257 Å
α = 64.46°, β = 90.00°, γ = 90.00°
Fractional positions:
Nb 0.000 0.000 0.000
Sn 0.301 0.350 0.350
Sn 0.699 0.350 0.350

Summary:
Formation energy from the elements in eV/atom: 0.05
Theoretical density in Mg/m³: 7.96

5.
NbSn after structural relaxation, computed with PBE.

a = 3.376 Å, b = 7.353 Å, c = 7.353 Å
α = 132.71°, β = 90.00°, γ = 90.00°
Fractional positions:
Nb 0.000 0.000 0.000
Nb 0.500 0.068 0.335
Nb 0.500 0.335 0.068
Sn 0.000 0.498 0.498
Sn 0.000 0.602 0.989
Sn 0.000 0.989 0.602

Summary:
Formation energy from the elements in eV/atom: 0.11
Theoretical density in Mg/m³: 7.86

6.
Nb2Sn after structural relaxation, computed with PBE.

a = 6.478 Å, b = 6.478 Å, c = 6.478 Å
α = 146.31°, β = 124.64°, γ = 66.39°
Fractional positions:
Nb 0.159 0.159 0.000
Nb 0.238 0.500 0.738
Nb 0.762 0.500 0.262
Nb 0.841 0.841 0.000
Sn 0.355 0.855 0.500
Sn 0.645 0.145 0.500

Summary:
Formation energy from the elements in eV/atom: 0.08
Theoretical density in Mg/m³: 8.26

7.
NbSn after structural relaxation, computed with PBE.

a = 4.491 Å, b = 12.666 Å, c = 5.016 Å
α = 90.00°, β = 90.00°, γ = 90.00°
Fractional positions:
Nb 0.250 0.130 0.162
Nb 0.250 0.370 0.162
Nb 0.250 0.750 0.816
Nb 0.750 0.250 0.184
Nb 0.750 0.630 0.838
Nb 0.750 0.870 0.838
Sn 0.250 0.000 0.692
Sn 0.250 0.250 0.662
Sn 0.250 0.500 0.692
Sn 0.750 0.000 0.308
Sn 0.750 0.500 0.308
Sn 0.750 0.750 0.338

Summary:
Formation energy from the elements in eV/atom: 0.29
Theoretical density in Mg/m³: 7.39

8.
NbSn after structural relaxation, computed with PBE.

a = 5.635 Å, b = 5.635 Å, c = 5.583 Å
α = 90.00°, β = 90.00°, γ = 90.00°
Fractional positions:
Nb 0.205 0.205 0.000
Nb 0.295 0.705 0.500
Nb 0.705 0.295 0.500
Nb 0.795 0.795 0.000
Sn 0.208 0.208 0.500
Sn 0.292 0.708 0.000
Sn 0.708 0.292 0.000
Sn 0.792 0.792 0.500

Summary:
Formation energy from the elements in eV/atom: 0.35
Theoretical density in Mg/m³: 7.93